Entry 1:
This record from Alexandria via LeMat-Bulk describes a geometry-optimized SnAsAu structure. The functional is PBE.

Output
Energy above the lowest structure with this stoichiometry   0.0347 eV per atom
Calculated density   9.1 g cm⁻³
Space group   F-43m
Formation energy   0.0048 eV/atom

a b c (Å): 4.655 4.655 4.655
angles (deg): 60.00 60.00 60.00
Fractional positions:
As 0.500 0.500 0.500
Sn 0.000 0.000 0.000
Au 0.250 0.250 0.250


Entry 2:
This record from Alexandria via LeMat-Bulk describes a geometry-optimized SnAsAu2 structure. The functional is PBE.

Output
Energy above the lowest structure with this stoichiometry   0.0000 eV per atom
Calculated density   11.1 g cm⁻³
Space group   R-3m
Formation energy   -0.0080 eV/atom

a b c (Å): 3.997 3.997 6.760
angles (deg): 72.80 72.80 60.00
Fractional positions:
As 0.500 0.500 0.500
Sn 0.000 0.000 0.000
Au 0.242 0.242 0.274
Au 0.758 0.758 0.726


Entry 3:
This record from Alexandria via LeMat-Bulk describes a geometry-optimized Sn6As3Au2 structure. The functional is PBE.

Output
Calculated density   6.5 g cm⁻³
Space group   P3m1
Formation energy   0.0045 eV/atom

a b c (Å): 4.571 4.571 18.758
angles (deg): 90.00 90.00 120.00
Fractional positions:
Sn 0.667 0.333 0.841
Sn 0.000 0.000 0.640
Sn 0.667 0.333 0.135
Sn 0.000 0.000 0.333
Sn 0.667 0.333 0.529
Sn 0.000 0.000 0.962
As 0.000 0.000 0.187
As 0.667 0.333 0.381
As 0.000 0.000 0.796
Au 0.333 0.667 0.582
Au 0.667 0.333 0.991


Entry 4:
This record from Alexandria via LeMat-Bulk describes a geometry-optimized SnAsAu structure. The functional is PBE.

Output
Energy above the lowest structure with this stoichiometry   0.0000 eV per atom
Calculated density   9.6 g cm⁻³
Space group   P3m1
Formation energy   -0.0299 eV/atom

a b c (Å): 3.969 3.969 4.936
angles (deg): 90.00 90.00 120.00
Fractional positions:
Au 0.000 0.000 0.981
Sn 0.667 0.333 0.330
As 0.333 0.667 0.689


Entry 5:
This record from Alexandria via LeMat-Bulk describes a geometry-optimized SnAs2Au structure. The functional is PBE.

Output
Calculated density   7.0 g cm⁻³
Space group   I-42d
Formation energy   -0.0058 eV/atom

a b c (Å): 6.075 6.075 7.361
angles (deg): 65.63 65.63 90.00
Fractional positions:
Au 0.750 0.250 0.500
Au 0.000 0.000 0.000
As 0.375 0.354 0.750
As 0.646 0.125 0.250
As 0.104 0.625 0.250
As 0.875 0.896 0.750
Sn 0.500 0.500 0.000
Sn 0.250 0.750 0.500


Entry 6:
This record from Alexandria via LeMat-Bulk describes a geometry-optimized Sn2As2Au structure. The functional is PBE.

Output
Energy above the lowest structure with this stoichiometry   0.1320 eV per atom
Calculated density   8.3 g cm⁻³
Space group   P4/mbm
Formation energy   0.2217 eV/atom

a b c (Å): 7.929 7.929 3.705
angles (deg): 90.00 90.00 90.00
Fractional positions:
As 0.131 0.631 0.500
As 0.631 0.869 0.500
As 0.869 0.369 0.500
As 0.369 0.131 0.500
Sn 0.666 0.166 0.000
Sn 0.166 0.334 0.000
Sn 0.334 0.834 0.000
Sn 0.834 0.666 0.000
Au 0.000 0.000 0.000
Au 0.500 0.500 0.000


Entry 7:
This record from Alexandria via LeMat-Bulk describes a geometry-optimized Sn2As2Au structure. The functional is PBE.

Output
Energy above the lowest structure with this stoichiometry   0.0000 eV per atom
Calculated density   7.7 g cm⁻³
Space group   I4/mmm
Formation energy   0.0897 eV/atom

a b c (Å): 5.567 5.567 5.647
angles (deg): 60.46 60.46 90.00
Fractional positions:
As 0.320 0.320 0.361
As 0.680 0.680 0.639
Au 0.000 0.000 0.000
Sn 0.250 0.750 0.500
Sn 0.750 0.250 0.500


Entry 8:
This record from Alexandria via LeMat-Bulk describes a geometry-optimized SrAsAu structure. The functional is PBE.

Output
Calculated density   3.8 g cm⁻³
Space group   P6_3/mmc
Formation energy   0.3606 eV/atom

a b c (Å): 5.375 5.375 12.418
angles (deg): 90.00 90.00 120.00
Each line ends with the local moment (μB).
Fractional positions:
Sr 0.000 0.000 0.250  0.02
Sr 0.000 0.000 0.750  0.02
Au 0.333 0.667 0.250  0.04
Au 0.667 0.333 0.750  0.04
As 0.000 0.000 0.000  0.76
As 0.000 0.000 0.500  0.76